VASP calculation (PBE) on crystalline CuHPd3 at its relaxed geometry.

Calculated values
Volume, Å³/atom: 12.83
ΔE to the lowest computed polymorph, eV per atom: 0.096
VASP energy, eV per atom: -4.59
Crystal system: hexagonal
Space group: No. 194

a = 2.905 Å, b = 2.905 Å, c = 17.556 Å
α = 90.00°, β = 90.00°, γ = 120.00°
Sites, in units of the cell vectors:
Cu1 0.000 0.000 0.000
Cu2 0.000 0.000 0.500
H1 0.333 0.667 0.250
H2 0.667 0.333 0.750
Pd1 0.000 0.000 0.250
Pd2 0.000 0.000 0.750
Pd3 0.333 0.667 0.115
Pd4 0.333 0.667 0.385
Pd5 0.667 0.333 0.615
Pd6 0.667 0.333 0.885